Compound: Ba2CeNiO5
Source: Alexandria
Functional: PBE+U
Structure: relaxed

Results
- DFT total energy (eV for the cell shown) = -236.31
- spin magnetization (μB per formula unit) = 1.9

abc: 3.612 15.570 11.004
angles: 90.00 90.00 90.00
Space group Cmc2_1 (No. 36)
Asymmetric unit:
Ba 0.000 0.108 0.000
Ba 0.000 0.122 0.629
Ce 0.000 0.206 0.325
Ni 0.000 0.459 0.767
O 0.000 0.046 0.331
O 0.000 0.294 0.953
O 0.000 0.306 0.696
O 0.000 0.343 0.319
O 0.000 0.500 0.103